Density functional theory data (PBE-GGA) for a relaxed Tm2MnGe3Pt4 crystal.

Summary:
The value obtained for the density of states at the Fermi level is 0.636 states/eV per atom. As for the calculated total energy: -6.4139 eV/atom.

CIF file:
```
data_Tm2MnGe3Pt4
_chemical_formula_sum 'Tm2 Mn1 Ge3 Pt4'
_cell_length_a 4.038
_cell_length_b 4.038
_cell_length_c 11.208
_cell_angle_alpha 90.00
_cell_angle_beta 90.00
_cell_angle_gamma 90.00
_space_group_name_H-M_alt 'P 1'
_space_group_IT_number 1
_space_group_name_Hall 'P 1'
loop_
_atom_site_label
_atom_site_type_symbol
_atom_site_fract_x
_atom_site_fract_y
_atom_site_fract_z
Tm1 Tm 0.500 0.000 0.248
Tm2 Tm 0.000 0.500 0.752
Mn1 Mn 0.500 0.500 0.500
Ge1 Ge 0.000 0.000 0.500
Ge2 Ge 0.500 0.000 0.862
Ge3 Ge 0.000 0.500 0.138
Pt1 Pt 0.500 0.500 0.000
Pt2 Pt 0.000 0.000 0.000
Pt3 Pt 0.500 0.000 0.646
Pt4 Pt 0.000 0.500 0.354
```

Density functional theory data (PBE-GGA) for a relaxed Ac2CdNi crystal.

Summary:
The calculation puts the offset from the most stable computed form at 0.15 eV/f.u. The value obtained for the density of states at the Fermi level is 0.726 states/eV per atom.

CIF file:
```
data_Ac2CdNi
_chemical_formula_sum 'Ac2 Cd1 Ni1'
_cell_length_a 3.788
_cell_length_b 3.788
_cell_length_c 8.184
_cell_angle_alpha 90.00
_cell_angle_beta 90.00
_cell_angle_gamma 90.00
_space_group_name_H-M_alt 'P 1'
_space_group_IT_number 1
_space_group_name_Hall 'P 1'
loop_
_atom_site_label
_atom_site_type_symbol
_atom_site_fract_x
_atom_site_fract_y
_atom_site_fract_z
Ni1 Ni 0.500 0.500 0.000
Ac1 Ac 0.000 0.000 0.783
Ac2 Ac 0.000 0.000 0.217
Cd1 Cd 0.500 0.500 0.500
```

Density functional theory data (PBE-GGA) for a relaxed GeTe2AuN crystal.

Summary:
The calculation puts the offset from the most stable computed form at 1.09 eV/f.u. The value obtained for the density of states at the Fermi level is 0.833 states/eV per atom. The calculation puts the formation energy without anion corrections at 944 meV/atom.

CIF file:
```
data_GeTe2AuN
_chemical_formula_sum 'Ge1 Te2 Au1 N1'
_cell_length_a 5.663
_cell_length_b 5.663
_cell_length_c 3.892
_cell_angle_alpha 90.00
_cell_angle_beta 90.00
_cell_angle_gamma 90.00
_space_group_name_H-M_alt 'P 1'
_space_group_IT_number 1
_space_group_name_Hall 'P 1'
loop_
_atom_site_label
_atom_site_type_symbol
_atom_site_fract_x
_atom_site_fract_y
_atom_site_fract_z
Ge1 Ge 0.500 0.500 0.500
Te1 Te 0.000 0.500 0.000
Te2 Te 0.500 0.000 0.000
Au1 Au 0.000 0.000 0.000
N1 N 0.000 0.000 0.500
```

Density functional theory data (PBE-GGA) for a relaxed NpTiBeO6 crystal.

Summary:
The value obtained for the density of states at the Fermi level is 0.004 states/eV per atom. The calculation puts the formation energy without anion corrections at -2567 meV/atom.

CIF file:
```
data_NpTiBeO6
_chemical_formula_sum 'Np2 Ti2 Be2 O12'
_cell_length_a 4.975
_cell_length_b 4.975
_cell_length_c 8.877
_cell_angle_alpha 90.00
_cell_angle_beta 90.00
_cell_angle_gamma 120.00
_space_group_name_H-M_alt 'P 1'
_space_group_IT_number 1
_space_group_name_Hall 'P 1'
loop_
_atom_site_label
_atom_site_type_symbol
_atom_site_fract_x
_atom_site_fract_y
_atom_site_fract_z
Np1 Np 0.333 0.667 0.250
Np2 Np 0.667 0.333 0.750
Ti1 Ti 0.000 0.000 0.000
Ti2 Ti 0.000 0.000 0.500
Be1 Be 0.667 0.333 0.250
Be2 Be 0.333 0.667 0.750
O1 O 0.685 0.658 0.129
O2 O 0.973 0.315 0.129
O3 O 0.315 0.973 0.629
O4 O 0.027 0.685 0.871
O5 O 0.342 0.315 0.371
O6 O 0.973 0.658 0.371
O7 O 0.658 0.973 0.871
O8 O 0.685 0.027 0.371
O9 O 0.027 0.342 0.629
O10 O 0.342 0.027 0.129
O11 O 0.658 0.685 0.629
O12 O 0.315 0.342 0.871
```